Entry from Alexandria: a relaxed NaMgPb3 crystal (PBE).

Values from the calculation:
As for the total energy: -2.89 eV per atom. The formation energy comes out at -0.0834 eV/atom. The value obtained for the energy above the most stable polymorph in this dataset is 0.000 eV/atom.

extended XYZ file:
```
10
Lattice="7.701 0.000 0.000 0.000 4.672 0.000 -0.499 0.000 8.011" Properties=species:S:1:pos:R:3 pbc="T T T"
Na 0.165 1.168 2.761
Na 7.036 3.504 5.251
Mg 3.447 1.168 1.156
Mg 3.754 3.504 6.855
Pb 1.217 3.504 0.405
Pb 1.677 1.168 6.129
Pb 2.553 3.504 3.487
Pb 4.649 1.168 4.524
Pb 5.525 3.504 1.883
Pb 5.984 1.168 7.606
```